{
  "formula": "Fe2AgCl",
  "functional": "PBE",
  "state": "optimized geometry",
  "energy_ev_per_cell": -19.09,
  "space_group": "Pmmm, No. 47",
  "raw_formation_energy_ev_per_atom": 0.6341,
  "mass_density_g_cm3": 6.569,
  "magmom_total_mub_per_fu": 6.16,
  "relative_energy_ev_per_atom": 0.4743,
  "lattice": [[-2.1206, 0.9783, -2.0395], [-0.3761, -4.1585, -1.6037], [-3.3683, -0.8828, 3.0789]],
  "species": ["Fe", "Fe", "Ag", "Cl"],
  "frac_coords": [[0.0000, 0.0000, 0.0000], [0.5000, 0.5000, 0.0000], [0.5000, 0.0000, 0.5000], [0.0000, 0.5000, 0.5000]]
}

***

{
  "formula": "Sm5HoEr2",
  "functional": "PBE",
  "state": "optimized geometry",
  "energy_ev_per_cell": -74.33,
  "space_group": "Pbam, No. 55",
  "mass_density_g_cm3": 7.980,
  "magmom_total_mub_per_fu": 0.00,
  "formation_enthalpy_0k_kj_per_mol_atoms": 2,
  "lattice": [[-0.4923, 3.6886, -3.4320], [-6.1903, 1.9886, 3.0252], [7.1055, 8.9826, 8.6350]],
  "species": ["Sm", "Sm", "Sm", "Sm", "Sm", "Sm", "Sm", "Sm", "Sm", "Sm", "Ho", "Ho", "Er", "Er", "Er", "Er"],
  "frac_coords": [[0.0000, 0.0000, 0.0000], [0.0000, 0.5000, 0.5000], [0.0000, 0.5005, 0.7508], [0.0000, 0.4995, 0.2492], [0.0000, 0.9995, 0.2508], [0.0000, 0.0005, 0.7492], [0.5000, 0.2509, 0.8756], [0.5000, 0.7491, 0.1244], [0.5000, 0.2491, 0.3756], [0.5000, 0.7509, 0.6244], [0.0000, 0.0000, 0.5000], [0.0000, 0.5000, 0.0000], [0.5000, 0.2500, 0.6243], [0.5000, 0.7500, 0.3757], [0.5000, 0.2500, 0.1243], [0.5000, 0.7500, 0.8757]]
}

***

{
  "formula": "TaGaAu2",
  "functional": "PBE",
  "state": "optimized geometry",
  "energy_ev_per_cell": -21.72,
  "space_group": "P4/mmm, No. 123",
  "mass_density_g_cm3": 15.245,
  "magmom_total_mub_per_fu": 0.00,
  "formation_enthalpy_0k_kj_per_mol_atoms": -7,
  "lattice": [[3.0272, 0.0000, 0.0000], [0.0000, 3.0272, 0.0000], [0.0000, 0.0000, 7.6615]],
  "species": ["Au", "Au", "Ga", "Ta"],
  "frac_coords": [[0.0000, 0.0000, 0.7533], [0.0000, 0.0000, 0.2467], [0.5000, 0.5000, 0.0000], [0.5000, 0.5000, 0.5000]]
}

***

{
  "formula": "CsLi4Pb3Br12",
  "functional": "PBE",
  "state": "optimized geometry",
  "energy_ev_per_cell": -62.47,
  "space_group": "R32, No. 155",
  "raw_formation_energy_ev_per_atom": -1.1380,
  "mass_density_g_cm3": 3.805,
  "magmom_total_mub_per_fu": 0.00,
  "lattice": [[-5.7036, 7.8969, 0.5844], [-5.6896, -7.8493, 1.1183], [6.1967, 0.2610, 7.5343]],
  "species": ["Cs", "Li", "Li", "Li", "Li", "Pb", "Pb", "Pb", "Br", "Br", "Br", "Br", "Br", "Br", "Br", "Br", "Br", "Br", "Br", "Br"],
  "frac_coords": [[0.0000, 0.0000, 0.0000], [0.9331, 0.0669, 0.5000], [0.0669, 0.5000, 0.9331], [0.5000, 0.9331, 0.0669], [0.5000, 0.5000, 0.5000], [0.5568, 0.4432, 0.0000], [0.4432, 0.0000, 0.5568], [0.0000, 0.5568, 0.4432], [0.5000, 0.3454, 0.6546], [0.9068, 0.5000, 0.0932], [0.0932, 0.9068, 0.5000], [0.5000, 0.0932, 0.9068], [0.3313, 0.9187, 0.2137], [0.2137, 0.3313, 0.9187], [0.9187, 0.2137, 0.3313], [0.6687, 0.7863, 0.0813], [0.0813, 0.6687, 0.7863], [0.7863, 0.0813, 0.6687], [0.6546, 0.5000, 0.3454], [0.3454, 0.6546, 0.5000]]
}